A relaxed structure of NpMnCo2O8, computed with PBE+U.

Cell and atoms, written as CIF:
```
data_NpMnCo2O8
_chemical_formula_sum 'Np1 Mn1 Co2 O8'
_symmetry_space_group_name_H-M 'P 1'
_symmetry_Int_Tables_number 1
_symmetry_space_group_name_Hall 'P 1'
_cell_length_a 5.765
_cell_length_b 5.765
_cell_length_c 5.765
_cell_angle_alpha 109.76
_cell_angle_beta 109.76
_cell_angle_gamma 108.89
loop_
_atom_site_label
_atom_site_type_symbol
_atom_site_fract_x
_atom_site_fract_y
_atom_site_fract_z
Np1 Np 0.000 0.000 0.000
Mn1 Mn 0.750 0.250 0.500
Co1 Co 0.250 0.750 0.500
Co2 Co 0.500 0.500 0.000
O1 O 0.049 0.344 0.295
O2 O 0.049 0.755 0.705
O3 O 0.129 0.315 0.814
O4 O 0.245 0.951 0.295
O5 O 0.501 0.315 0.186
O6 O 0.656 0.951 0.705
O7 O 0.685 0.499 0.814
O8 O 0.685 0.871 0.186
```

The total energy is -87.4 eV for the cell shown. The calculation puts the theoretical density at 6.1 g cm⁻³.